First-principles (GGA-PBE) data for YTm4Cu5 after structural relaxation, as listed in OQMD.

Results
- Formation enthalpy at 0 K: -0.28 eV/atom
- ρ: 9.0 g/cm³
- Final energy: -4.574 eV/atom

CIF file:
```
data_YTm4Cu5
_space_group_name_H-M_alt 'P 4/m m m'
_space_group_IT_number 123
_space_group_name_Hall '-P 4 2'
_cell_length_a 3.4060
_cell_length_b 3.4060
_cell_length_c 17.1646
_cell_angle_alpha 90.00
_cell_angle_beta 90.00
_cell_angle_gamma 90.00
loop_
_atom_site_label
_atom_site_fract_x
_atom_site_fract_y
_atom_site_fract_z
Y1 0.0000 0.0000 0.0000
Tm1 0.0000 0.0000 0.2021
Tm2 0.0000 0.0000 0.4006
Cu1 0.5000 0.5000 0.1046
Cu2 0.5000 0.5000 0.3011
Cu3 0.5000 0.5000 0.5000
```



First-principles (GGA-PBE) data for YTmCu after structural relaxation, as listed in OQMD.

Results
- Formation enthalpy at 0 K: 0.69 eV/atom
- ρ: 7.1 g/cm³
- Final energy: -4.196 eV/atom

CIF file:
```
data_YTmCu
_space_group_name_H-M_alt 'F -4 3 m'
_space_group_IT_number 216
_space_group_name_Hall 'F -4 2 3'
_cell_length_a 6.6950
_cell_length_b 6.6950
_cell_length_c 6.6950
_cell_angle_alpha 90.00
_cell_angle_beta 90.00
_cell_angle_gamma 90.00
loop_
_atom_site_label
_atom_site_fract_x
_atom_site_fract_y
_atom_site_fract_z
Y1 0.0000 0.0000 0.0000
Tm1 0.2500 0.2500 0.7500
Cu1 0.0000 0.0000 0.5000
```



First-principles (GGA-PBE) data for YTmCu2 after structural relaxation, as listed in OQMD.

Results
- Formation enthalpy at 0 K: -0.26 eV/atom
- ρ: 7.6 g/cm³
- Final energy: -4.855 eV/atom

CIF file:
```
data_YTmCu2
_space_group_name_H-M_alt 'A m m 2'
_space_group_IT_number 38
_space_group_name_Hall 'A 2 -2'
_cell_length_a 4.4526
_cell_length_b 3.6671
_cell_length_c 10.2491
_cell_angle_alpha 90.00
_cell_angle_beta 90.00
_cell_angle_gamma 90.00
loop_
_atom_site_label
_atom_site_fract_x
_atom_site_fract_y
_atom_site_fract_z
Y1 0.0000 0.0000 0.0000
Tm1 0.5000 0.0000 0.2808
Cu1 0.0000 0.0000 0.7155
Cu2 0.5000 0.0000 0.5696
```